(1)
The following is a PBE calculation of an optimized crystal structure of KIrAu, from the Alexandria database.

It has space group I4mm (No. 107), with a = 3.593 Å, b = 3.593 Å, c = 11.669 Å, α = 90.00°, β = 90.00° and γ = 90.00°. The asymmetric unit holds K at (0.000, 0.000, 0.000), Ir at (0.000, 0.000, 0.277) and Au at (0.000, 0.000, 0.721).

The density of states at the Fermi level comes out at 0.846 states/eV per atom. The offset from the most stable computed form is 0.3818 eV/atom. The calculated formation energy comes out at 487.9 meV per atom. For the magnetization, the calculation gives 0.000 Bohr magnetons per cell.

***

(2)
The following is a PBE calculation of an optimized crystal structure of Tl2InRu, from the Alexandria database.

It has space group P4/mmm (No. 123), with a = 5.061 Å, b = 5.061 Å, c = 3.459 Å, α = 90.00°, β = 90.00° and γ = 90.00°. The asymmetric unit holds Tl at (0.000, 0.500, 0.000), In at (0.000, 0.000, 0.500) and Ru at (0.500, 0.500, 0.500).

The density of states at the Fermi level comes out at 0.867 states/eV per atom. The offset from the most stable computed form is 0.4028 eV/atom. The calculated formation energy comes out at 593.3 meV per atom. For the magnetization, the calculation gives 0.000 Bohr magnetons per cell.

***

(3)
The following is a PBE calculation of an optimized crystal structure of BaErNi2H8, from the Alexandria database.

It has space group R-3 (No. 148, hexagonal axes), with a = 4.8754 Å, b = 4.8754 Å, c = 19.6801 Å, α = 90.00°, β = 90.00° and γ = 120.00°. The asymmetric unit holds Ba at (0.0000, 0.0000, 0.0000), Er at (0.0000, 0.0000, 0.5000), Ni at (0.0000, 0.0000, 0.2228), H at (0.0000, 0.0000, 0.2994) and H at (0.0164, 0.3996, 0.5555).

The density of states at the Fermi level comes out at 0.272 states/eV per atom. For the magnetization, the calculation gives 0.000 Bohr magnetons per cell. Its total energy is -3.925 eV per atom.

***

(4)
The following is a PBE calculation of an optimized crystal structure of NaLaGe2, from the Alexandria database.

It has space group I-42d (No. 122), with a = 4.832 Å, b = 4.832 Å, c = 18.942 Å, α = 90.00°, β = 90.00° and γ = 90.00°. The asymmetric unit holds Na at (0.000, 0.000, 0.000), La at (0.000, 0.000, 0.500) and Ge at (0.160, 0.250, 0.125).

The density of states at the Fermi level comes out at 0.405 states/eV per atom. The offset from the most stable computed form is 0.4961 eV/atom. The calculated formation energy comes out at -32.8 meV per atom. For the magnetization, the calculation gives 0.000 Bohr magnetons per cell.

***

Copy entry 3 word for word.
The following is a PBE calculation of an optimized crystal structure of BaErNi2H8, from the Alexandria database.

It has space group R-3 (No. 148, hexagonal axes), with a = 4.8754 Å, b = 4.8754 Å, c = 19.6801 Å, α = 90.00°, β = 90.00° and γ = 120.00°. The asymmetric unit holds Ba at (0.0000, 0.0000, 0.0000), Er at (0.0000, 0.0000, 0.5000), Ni at (0.0000, 0.0000, 0.2228), H at (0.0000, 0.0000, 0.2994) and H at (0.0164, 0.3996, 0.5555).

The density of states at the Fermi level comes out at 0.272 states/eV per atom. For the magnetization, the calculation gives 0.000 Bohr magnetons per cell. Its total energy is -3.925 eV per atom.

***

> magnetization of number 2 (Tl2InRu)?

0.000 Bohr magnetons per cell

***

> magnetization of number 2 (Tl2InRu)?

0.000 Bohr magnetons per cell

***

Repeat the third record exactly.
The following is a PBE calculation of an optimized crystal structure of BaErNi2H8, from the Alexandria database.

It has space group R-3 (No. 148, hexagonal axes), with a = 4.8754 Å, b = 4.8754 Å, c = 19.6801 Å, α = 90.00°, β = 90.00° and γ = 120.00°. The asymmetric unit holds Ba at (0.0000, 0.0000, 0.0000), Er at (0.0000, 0.0000, 0.5000), Ni at (0.0000, 0.0000, 0.2228), H at (0.0000, 0.0000, 0.2994) and H at (0.0164, 0.3996, 0.5555).

The density of states at the Fermi level comes out at 0.272 states/eV per atom. For the magnetization, the calculation gives 0.000 Bohr magnetons per cell. Its total energy is -3.925 eV per atom.